## Ta2RhAu (GGA-PBE)

Data for Ta2RhAu after structural relaxation. Values from VASP.

V ... 17.3 Å³ per atom
Total moment ... 0.00 μB per formula unit
Raw total energy ... -8.6624 eV per atom
SG ... Imm2

Geometry as Quantum ESPRESSO input:
```
&SYSTEM
  ibrav = 0, nat = 4, ntyp = 3
/
ATOMIC_SPECIES
Ta 180.95 Ta.upf
Rh 102.91 Rh.upf
Au 196.97 Au.upf
ATOMIC_POSITIONS crystal
Ta 0.000 0.000 0.000
Ta 0.747 0.247 0.500
Rh 0.234 0.734 0.500
Au 0.483 0.483 0.000
CELL_PARAMETERS angstrom
-1.481 2.418 4.820
1.481 -2.418 4.820
1.481 2.418 -4.820
```